Computed, not measured: GaReMo after structural relaxation at the PBE-GGA level of DFT.

Computed properties:
As for the total energy: -26.1 eV/cell. The energy of formation from the pure elements comes out at 80 meV/atom. As for the relative energy among the computed polymorphs: 132.3 meV per atom.

Cell lengths 4.3989, 4.3989, 2.7398 Å; angles 90.00, 90.00, 120.00 degrees
Space group P3m1 (No. 156)
Asymmetric unit:
Ga  0.0000  0.0000  0.0000
Re  0.6667  0.3333  0.2324
Mo  0.3333  0.6667  0.5496

---

Computed, not measured: Tb3USe6 after structural relaxation at the PBE-GGA level of DFT.

Computed properties:
As for the total energy: -247.5 eV/cell. As for the relative energy among the computed polymorphs: 103.6 meV per atom. The formation energy (no corrections) is -15.8 eV per formula unit.

Cell lengths 11.154, 13.934, 7.155 Å; angles 90.00, 90.00, 90.00 degrees
Space group Cmc2_1 (No. 36)
Asymmetric unit:
Tb  0.000  0.094  0.000
Tb  0.189  0.396  0.104
U  0.000  0.332  0.619
Se  0.000  0.270  0.244
Se  0.000  0.492  0.878
Se  0.165  0.034  0.295
Se  0.171  0.232  0.830

---

Computed, not measured: PmAgTe after structural relaxation at the PBE-GGA level of DFT.

Computed properties:
As for the total energy: -25.3 eV/cell. As for the relative energy among the computed polymorphs: 35.5 meV per atom. The formation energy (no corrections) is -1.9 eV per formula unit.

Cell lengths 5.189, 5.189, 6.731 Å; angles 90.00, 90.08, 90.00 degrees
Space group P2_1/m (No. 11)
Asymmetric unit:
Pm  0.250  0.250  0.000
Ag  0.250  0.750  0.292
Te  0.249  0.750  0.722

---

Computed, not measured: Pm4Y3Te8 after structural relaxation at the PBE-GGA level of DFT.

Computed properties:
As for the total energy: -169.7 eV/cell. The formation energy (no corrections) is -21.3 eV per formula unit.

Cell lengths 12.446, 12.453, 8.805 Å; angles 90.00, 134.97, 90.00 degrees
Space group C2/m (No. 12)
Asymmetric unit:
Pm  0.000  0.000  0.000
Pm  0.000  0.500  0.500
Pm  0.250  0.250  0.000
Y  0.000  0.500  0.000
Y  0.250  0.250  0.500
Te  0.000  0.242  0.500
Te  0.000  0.253  0.000
Te  0.245  0.000  0.505
Te  0.245  0.000  0.985

---

Computed, not measured: LiAc2Au2 after structural relaxation at the PBE-GGA level of DFT.

Computed properties:
As for the total energy: -78.6 eV/cell. The energy of formation from the pure elements comes out at -595 meV/atom. As for the relative energy among the computed polymorphs: 63.3 meV per atom.

Cell lengths 6.840, 12.631, 6.712 Å; angles 90.00, 90.00, 90.00 degrees
Space group Ibam (No. 72)
Asymmetric unit:
Li  0.000  0.000  0.250
Ac  0.183  0.356  0.000
Au  0.218  0.111  0.000

---

Computed, not measured: SrTlTe after structural relaxation at the PBE-GGA level of DFT.

Computed properties:
As for the total energy: -18.8 eV/cell. As for the relative energy among the computed polymorphs: 22.7 meV per atom. The formation energy (no corrections) is -2.2 eV per formula unit.

Cell lengths 4.445, 4.445, 10.883 Å; angles 90.00, 90.00, 90.00 degrees
Space group I4mm (No. 107)
Asymmetric unit:
Sr  0.000  0.000  0.000
Tl  0.000  0.000  0.319
Te  0.000  0.000  0.612

---

Computed, not measured: SrZn2Ir2 after structural relaxation at the PBE-GGA level of DFT.

Computed properties:
As for the total energy: -44.9 eV/cell. The energy of formation from the pure elements comes out at -101 meV/atom. As for the relative energy among the computed polymorphs: 153.1 meV per atom.

Cell lengths 7.732, 7.732, 2.909 Å; angles 90.00, 90.00, 90.00 degrees
Space group P4/mbm (No. 127)
Asymmetric unit:
Sr  0.000  0.000  0.000
Zn  0.158  0.342  0.500
Ir  0.135  0.635  0.000

---

Computed, not measured: YTm4Te5 after structural relaxation at the PBE-GGA level of DFT.

Computed properties:
As for the total energy: -104.0 eV/cell. As for the relative energy among the computed polymorphs: 6.3 meV per atom. The formation energy (no corrections) is -11.9 eV per formula unit.

Cell lengths 9.645, 9.645, 6.106 Å; angles 90.00, 90.00, 90.00 degrees
Space group I4 (No. 79)
Asymmetric unit:
Y  0.000  0.000  0.000
Tm  0.105  0.293  0.503
Te  0.000  0.000  0.500
Te  0.097  0.307  0.003

---

Computed, not measured: Cd3HRh after structural relaxation at the PBE-GGA level of DFT.

Computed properties:
As for the total energy: -12.6 eV/cell. As for the relative energy among the computed polymorphs: 216.0 meV per atom.

Cell lengths 4.283, 4.283, 4.283 Å; angles 90.00, 90.00, 90.00 degrees
Space group Pm-3m (No. 221)
Asymmetric unit:
Cd  0.000  0.000  0.500
H  0.000  0.000  0.000
Rh  0.500  0.500  0.500

---

Computed, not measured: Ho8Mg2Os after structural relaxation at the PBE-GGA level of DFT.

Computed properties:
As for the total energy: -103.4 eV/cell. The energy of formation from the pure elements comes out at -59 meV/atom.

Cell lengths 17.443, 5.409, 7.027 Å; angles 90.00, 111.27, 90.00 degrees
Space group C2/m (No. 12)
Asymmetric unit:
Ho  0.015  0.000  0.284
Ho  0.101  0.500  0.906
Ho  0.146  0.500  0.430
Ho  0.193  0.000  0.757
Mg  0.183  0.000  0.193
Os  0.000  0.500  0.500

---

Computed, not measured: CeCoBi after structural relaxation at the PBE-GGA level of DFT.

Computed properties:
As for the total energy: -34.6 eV/cell. The energy of formation from the pure elements comes out at -119 meV/atom.

Cell lengths 3.356, 3.356, 11.919 Å; angles 90.00, 90.00, 90.00 degrees
Space group I4mm (No. 107)
Asymmetric unit:
Ce  0.000  0.000  0.000
Co  0.000  0.000  0.621
Bi  0.000  0.000  0.272

---

Computed, not measured: Dy3HoIn3 after structural relaxation at the PBE-GGA level of DFT.

Computed properties:
As for the total energy: -115.1 eV/cell. The energy of formation from the pure elements comes out at -310 meV/atom. As for the relative energy among the computed polymorphs: 17.2 meV per atom.

Cell lengths 9.302, 9.302, 9.302 Å; angles 90.00, 90.00, 90.00 degrees
Space group P2_13 (No. 198)
Asymmetric unit:
Dy  0.073  0.427  0.573
Dy  0.175  0.175  0.175
Dy  0.175  0.825  0.325
Ho  0.076  0.576  0.924
In  0.001  0.252  0.874